# 1
The following is a GGA-PBE calculation of an optimized crystal structure of Er2InOs, from Alexandria via LeMat-Bulk.

Results
Polymorph energy (0 for the lowest one) in meV per atom: 556

Lattice parameters (Å, degrees): 3.4463 3.4463 31.1776 90.00 90.00 120.00
Space group R-3m (No. 166, hexagonal axes)
Symmetry-distinct sites (fractional):
Er 0.0000 0.0000 0.1039
In 0.0000 0.0000 0.0000
Os 0.0000 0.0000 0.5000


# 2
The following is a GGA-PBE calculation of an optimized crystal structure of Er4In3Os, from Alexandria via LeMat-Bulk.

Lattice parameters (Å, degrees): 3.499 3.499 15.807 90.00 90.00 90.00
Space group P4/mmm (No. 123)
Symmetry-distinct sites (fractional):
Er 0.000 0.000 0.101
Er 0.000 0.000 0.368
In 0.500 0.500 0.238
In 0.500 0.500 0.500
Os 0.500 0.500 0.000


# 3
The following is a GGA-PBE calculation of an optimized crystal structure of Er2InOs, from Alexandria via LeMat-Bulk.

Results
Polymorph energy (0 for the lowest one) in meV per atom: 152

Lattice parameters (Å, degrees): 4.933 4.933 3.625 90.00 90.00 90.00
Space group P4/mmm (No. 123)
Symmetry-distinct sites (fractional):
Er 0.000 0.500 0.000
In 0.000 0.000 0.500
Os 0.500 0.500 0.500


# 4
The following is a GGA-PBE calculation of an optimized crystal structure of Er2InOs, from Alexandria via LeMat-Bulk.

Results
Polymorph energy (0 for the lowest one) in meV per atom: 0

Lattice parameters (Å, degrees): 3.356 3.356 8.243 90.00 90.00 90.00
Space group P4/mmm (No. 123)
Symmetry-distinct sites (fractional):
Er 0.000 0.000 0.202
In 0.500 0.500 0.500
Os 0.500 0.500 0.000


# 5
The following is a GGA-PBE calculation of an optimized crystal structure of Er8In2Os, from Alexandria via LeMat-Bulk.

Lattice parameters (Å, degrees): 17.516 5.303 6.958 90.00 112.20 90.00
Space group C2/m (No. 12)
Symmetry-distinct sites (fractional):
Er 0.013 0.000 0.281
Er 0.098 0.500 0.914
Er 0.145 0.500 0.430
Er 0.196 0.000 0.764
In 0.180 0.000 0.195
Os 0.000 0.500 0.500


# 6
The following is a GGA-PBE calculation of an optimized crystal structure of Er5InOs2, from Alexandria via LeMat-Bulk.

Lattice parameters (Å, degrees): 7.676 7.676 13.555 90.00 90.00 90.00
Space group I4/mcm (No. 140)
Symmetry-distinct sites (fractional):
Er 0.000 0.000 0.000
Er 0.160 0.340 0.132
In 0.000 0.000 0.250
Os 0.140 0.360 0.500


Number 1: total moment 0.0 Bohr magnetons per cell, density 9935 kg/m3, energy of formation from the pure elements 0.1511 eV/atom. Number 2: total moment 0.0 Bohr magnetons per cell, density 10332 kg/m3, energy of formation from the pure elements -0.4287 eV/atom. Number 3: total moment 0.0 Bohr magnetons per cell, density 12039 kg/m3, energy of formation from the pure elements -0.2528 eV/atom. Number 4: total moment 0.0 Bohr magnetons per cell, density 11438 kg/m3, energy of formation from the pure elements -0.4045 eV/atom. Number 5: total moment 0.0 Bohr magnetons per cell, density 9757 kg/m3, energy of formation from the pure elements -0.2571 eV/atom. Number 6: total moment 0.0 Bohr magnetons per cell, density 11074 kg/m3, energy of formation from the pure elements -0.3562 eV/atom.